Entry from Alexandria via LeMat-Bulk: crystalline VPHO5 at its relaxed geometry (GGA-PBEsol).

Results
E_tot = -7.66 eV/atom
total magnetization = 1.0 μB/f.u.

Cell lengths 5.167, 5.171, 7.171 Å; angles 105.00, 108.19, 100.80 degrees
Sites, in units of the cell vectors:
V: 0.000 0.000 0.000
V: 0.000 0.000 0.500
P: 0.327 0.672 0.268
P: 0.673 0.328 0.732
H: 0.337 0.975 0.816
H: 0.663 0.025 0.184
O: 0.126 0.700 0.387
O: 0.126 0.950 0.769
O: 0.240 0.370 0.118
O: 0.316 0.877 0.141
O: 0.365 0.254 0.578
O: 0.635 0.746 0.422
O: 0.684 0.123 0.859
O: 0.760 0.630 0.882
O: 0.874 0.050 0.231
O: 0.874 0.300 0.613